First-principles (PBEsol) data for a geometry-optimized RhC2Se structure, as listed in the Alexandria database.

Structure (POSCAR):
```
RhC2Se
1.0
-1.956 -3.713 2.092
-1.365 -1.634 -4.178
5.602 0.378 0.653
C Rh Se
4 2 2
direct
0.365 0.875 0.250
0.885 0.375 0.250
0.125 0.115 0.750
0.625 0.635 0.750
0.250 0.750 0.500
0.000 0.000 0.000
0.750 0.250 0.500
0.500 0.500 0.000
```

Total magnetic moment (μB per formula unit): 0.00
Formation energy (no corrections) (eV/f.u.): 4.77

***

First-principles (PBEsol) data for a geometry-optimized Rh3CSe structure, as listed in the Alexandria database.

Structure (POSCAR):
```
Rh3CSe
1.0
4.058 0.000 0.000
0.000 4.058 0.000
0.000 0.000 4.058
C Rh Se
1 3 1
direct
0.000 0.000 0.000
0.000 0.500 0.000
0.000 0.000 0.500
0.500 0.000 0.000
0.500 0.500 0.500
```

Total magnetic moment (μB per formula unit): 0.76
Formation energy (no corrections) (eV/f.u.): 1.57

***

First-principles (PBEsol) data for a geometry-optimized SiRh2C structure, as listed in the Alexandria database.

Structure (POSCAR):
```
SiRh2C
1.0
-2.841 -1.391 -2.465
0.330 -3.677 -1.567
-2.456 -2.927 1.219
Si Rh C
1 2 1
direct
0.500 0.500 0.500
0.250 0.250 0.250
0.750 0.750 0.750
0.000 0.000 0.000
```

Total magnetic moment (μB per formula unit): 0.68
Formation energy (no corrections) (eV/f.u.): 2.13

***

First-principles (PBEsol) data for a geometry-optimized SmRh3C structure, as listed in the Alexandria database.

Structure (POSCAR):
```
SmRh3C
1.0
-3.837 -0.802 1.363
0.051 -3.638 -1.996
1.581 -1.828 3.374
C Rh Sm
1 3 1
direct
0.500 0.500 0.500
0.000 0.500 0.500
0.500 0.500 0.000
0.500 0.000 0.500
0.000 0.000 0.000
```

Calculated formation energy (kJ per mole of atoms): -45
Total magnetic moment (μB per formula unit): 0.00

***

First-principles (PBEsol) data for a geometry-optimized SrRhC2 structure, as listed in the Alexandria database.

Structure (POSCAR):
```
SrRhC2
1.0
-0.453 1.192 4.854
4.680 -1.608 0.832
-0.260 5.075 -3.865
Sr C Rh
2 4 2
direct
0.750 0.250 0.500
0.500 0.500 0.000
0.234 0.875 0.250
0.016 0.375 0.250
0.125 0.984 0.750
0.625 0.766 0.750
0.250 0.750 0.500
0.000 0.000 0.000
```

Calculated formation energy (kJ per mole of atoms): 64
Total magnetic moment (μB per formula unit): 0.00

***

First-principles (PBEsol) data for a geometry-optimized TbRh3C structure, as listed in the Alexandria database.

Structure (POSCAR):
```
TbRh3C
1.0
4.123 0.000 0.000
0.000 4.123 0.000
0.000 0.000 4.123
Tb C Rh
1 1 3
direct
0.000 0.000 0.000
0.500 0.500 0.500
0.000 0.500 0.500
0.500 0.500 0.000
0.500 0.000 0.500
```

Calculated formation energy (kJ per mole of atoms): -51
Total magnetic moment (μB per formula unit): 0.00

***

First-principles (PBEsol) data for a geometry-optimized Te2RhC2 structure, as listed in the Alexandria database.

Structure (POSCAR):
```
Te2RhC2
1.0
-2.996 -1.473 -3.289
-0.631 -2.341 4.010
-0.681 4.532 0.977
C Te Rh
2 2 1
direct
0.000 0.617 0.617
0.000 0.383 0.383
0.500 0.750 0.250
0.500 0.250 0.750
0.000 0.000 0.000
```

Total magnetic moment (μB per formula unit): 0.00
Formation energy (no corrections) (eV/f.u.): 5.43

***

First-principles (PBEsol) data for a geometry-optimized TiRhC2 structure, as listed in the Alexandria database.

Structure (POSCAR):
```
TiRhC2
1.0
4.486 0.000 0.000
0.000 4.486 0.000
-2.243 -2.243 4.850
C Rh Ti
4 2 2
direct
0.353 0.875 0.250
0.897 0.375 0.250
0.125 0.103 0.750
0.625 0.647 0.750
0.250 0.750 0.500
0.000 0.000 0.000
0.750 0.250 0.500
0.500 0.500 0.000
```

Calculated formation energy (kJ per mole of atoms): 29
Total magnetic moment (μB per formula unit): 0.00

***

First-principles (PBEsol) data for a geometry-optimized TlRh3C structure, as listed in the Alexandria database.

Structure (POSCAR):
```
TlRh3C
1.0
4.089 0.000 0.000
0.000 4.089 0.000
0.000 0.000 4.089
Tl Rh C
1 3 1
direct
0.500 0.500 0.500
0.000 0.500 0.000
0.000 0.000 0.500
0.500 0.000 0.000
0.000 0.000 0.000
```

Calculated formation energy (kJ per mole of atoms): 3
Total magnetic moment (μB per formula unit): 0.00

***

First-principles (PBEsol) data for a geometry-optimized TlRhC2 structure, as listed in the Alexandria database.

Structure (POSCAR):
```
TlRhC2
1.0
-2.485 0.763 3.135
1.079 -1.105 3.769
0.999 2.837 2.746
Tl Rh C
1 1 2
direct
0.500 0.500 0.500
0.000 0.000 0.000
0.250 0.250 0.250
0.750 0.750 0.750
```

Calculated formation energy (kJ per mole of atoms): 206
Total magnetic moment (μB per formula unit): 0.00

***

First-principles (PBEsol) data for a geometry-optimized TmRh3C structure, as listed in the Alexandria database.

Structure (POSCAR):
```
TmRh3C
1.0
4.098 0.000 0.000
0.000 4.098 0.000
0.000 0.000 4.098
C Tm Rh
1 1 3
direct
0.500 0.500 0.500
0.000 0.000 0.000
0.000 0.500 0.500
0.500 0.500 0.000
0.500 0.000 0.500
```

Calculated formation energy (kJ per mole of atoms): -56
Total magnetic moment (μB per formula unit): 0.00

***

First-principles (PBEsol) data for a geometry-optimized RhW3C structure, as listed in the Alexandria database.

Structure (POSCAR):
```
RhW3C
1.0
4.088 0.000 0.000
0.000 4.088 0.000
0.000 0.000 4.088
C Rh W
1 1 3
direct
0.000 0.000 0.000
0.500 0.500 0.500
0.000 0.500 0.000
0.000 0.000 0.500
0.500 0.000 0.000
```

Calculated formation energy (kJ per mole of atoms): 10
Total magnetic moment (μB per formula unit): 0.00

***

First-principles (PBEsol) data for a geometry-optimized ZrRhW2C structure, as listed in the Alexandria database.

Structure (POSCAR):
```
ZrRhW2C
1.0
4.067 0.000 0.000
0.000 4.067 0.000
0.000 0.000 4.471
C Rh Zr W
1 1 1 2
direct
0.000 0.000 0.000
0.500 0.500 0.500
0.000 0.000 0.500
0.000 0.500 0.000
0.500 0.000 0.000
```

Calculated formation energy (kJ per mole of atoms): -11
Total magnetic moment (μB per formula unit): 0.00

***

First-principles (PBEsol) data for a geometry-optimized Ru2C structure, as listed in the Alexandria database.

Structure (POSCAR):
```
Ru2C
1.0
-0.741 2.285 1.482
-0.304 -2.777 4.130
5.035 2.330 -1.073
C Ru
2 4
direct
0.000 0.351 0.702
0.000 0.649 0.298
0.000 0.000 0.000
0.500 0.500 0.000
0.500 0.223 0.447
0.500 0.777 0.553
```

Calculated formation energy (kJ per mole of atoms): 86
Total magnetic moment (μB per formula unit): 0.00

***

First-principles (PBEsol) data for a geometry-optimized Ru3C structure, as listed in the Alexandria database.

Structure (POSCAR):
```
Ru3C
1.0
-1.518 1.917 -2.697
0.869 -2.632 -2.360
-3.193 -1.627 0.640
Ru C
3 1
direct
0.000 0.500 0.500
0.500 0.000 0.500
0.500 0.500 0.000
0.000 0.000 0.000
```

Calculated formation energy (kJ per mole of atoms): 140
Total magnetic moment (μB per formula unit): 1.79

***

First-principles (PBEsol) data for a geometry-optimized RuC2 structure, as listed in the Alexandria database.

Structure (POSCAR):
```
RuC2
1.0
3.446 0.000 0.000
1.723 2.984 0.000
1.723 0.995 2.814
Ru C
1 2
direct
0.000 0.000 0.000
0.250 0.250 0.250
0.750 0.750 0.750
```

Calculated formation energy (kJ per mole of atoms): 175
Total magnetic moment (μB per formula unit): 0.00

***

First-principles (PBEsol) data for a geometry-optimized Ru2C structure, as listed in the Alexandria database.

Structure (POSCAR):
```
Ru2C
1.0
-2.020 1.182 1.652
0.893 -3.212 3.390
3.359 3.001 1.959
C Ru
2 4
direct
0.000 0.000 0.000
0.500 0.500 0.500
0.000 0.354 0.762
0.000 0.646 0.238
0.500 0.146 0.262
0.500 0.854 0.738
```

Calculated formation energy (kJ per mole of atoms): 28
Total magnetic moment (μB per formula unit): 0.00

***

First-principles (PBEsol) data for a geometry-optimized Ru2C structure, as listed in the Alexandria database.

Structure (POSCAR):
```
Ru2C
1.0
-0.847 -0.953 -4.717
-1.838 -4.329 -1.326
-4.591 -0.304 -1.645
C Ru
2 4
direct
0.500 0.500 0.500
0.750 0.750 0.750
0.125 0.125 0.125
0.125 0.125 0.625
0.125 0.625 0.125
0.625 0.125 0.125
```

Calculated formation energy (kJ per mole of atoms): 256
Total magnetic moment (μB per formula unit): 0.91

***

First-principles (PBEsol) data for a geometry-optimized Ru2C structure, as listed in the Alexandria database.

Structure (POSCAR):
```
Ru2C
1.0
-1.436 -0.654 3.353
3.290 -1.437 -0.919
2.573 4.612 2.002
C Ru
2 4
direct
0.333 0.667 0.750
0.667 0.333 0.250
0.000 0.000 0.000
0.000 0.000 0.500
0.667 0.333 0.750
0.333 0.667 0.250
```

Calculated formation energy (kJ per mole of atoms): 116
Total magnetic moment (μB per formula unit): 0.00

***

First-principles (PBEsol) data for a geometry-optimized RuC2 structure, as listed in the Alexandria database.

Structure (POSCAR):
```
RuC2
1.0
2.537 0.000 0.000
-1.269 2.197 0.000
0.000 0.000 9.584
Ru C
2 4
direct
0.333 0.667 0.250
0.667 0.333 0.750
0.333 0.667 0.488
0.667 0.333 0.988
0.667 0.333 0.512
0.333 0.667 0.012
```

Calculated formation energy (kJ per mole of atoms): 61
Total magnetic moment (μB per formula unit): 0.00

***

First-principles (PBEsol) data for a geometry-optimized RuC2 structure, as listed in the Alexandria database.

Structure (POSCAR):
```
RuC2
1.0
2.479 0.000 0.000
-1.239 2.147 0.000
0.000 0.000 7.441
Ru C
1 2
direct
0.000 0.000 0.000
0.333 0.667 0.500
0.667 0.333 0.500
```

Calculated formation energy (kJ per mole of atoms): 79
Total magnetic moment (μB per formula unit): 0.75

***

First-principles (PBEsol) data for a geometry-optimized RuC2 structure, as listed in the Alexandria database.

Structure (POSCAR):
```
RuC2
1.0
2.967 0.000 0.000
0.000 2.967 0.000
0.000 0.000 5.904
Ru C
2 4
direct
0.500 0.000 0.757
0.000 0.500 0.243
0.000 0.000 0.000
0.500 0.500 0.000
0.500 0.000 0.387
0.000 0.500 0.613
```

Calculated formation energy (kJ per mole of atoms): 155
Total magnetic moment (μB per formula unit): 0.00

***

First-principles (PBEsol) data for a geometry-optimized RuC2 structure, as listed in the Alexandria database.

Structure (POSCAR):
```
RuC2
1.0
-1.424 2.241 -0.546
-4.123 -2.732 -0.458
-0.929 0.590 4.844
Ru C
2 4
direct
0.000 0.500 0.500
0.500 0.000 0.000
0.000 0.788 0.788
0.000 0.212 0.212
0.500 0.712 0.288
0.500 0.288 0.712
```

Calculated formation energy (kJ per mole of atoms): 147
Total magnetic moment (μB per formula unit): 0.00

***

First-principles (PBEsol) data for a geometry-optimized Ru2C structure, as listed in the Alexandria database.

Structure (POSCAR):
```
Ru2C
1.0
2.753 0.000 0.000
0.000 5.061 -0.021
-1.376 -1.650 4.814
C Ru
2 4
direct
0.354 0.881 0.708
0.646 0.119 0.292
0.055 0.295 0.110
0.684 0.761 0.368
0.945 0.705 0.890
0.316 0.239 0.632
```

Calculated formation energy (kJ per mole of atoms): 36
Total magnetic moment (μB per formula unit): 0.00

***

First-principles (PBEsol) data for a geometry-optimized RuC4 structure, as listed in the Alexandria database.

Structure (POSCAR):
```
RuC4
1.0
3.610 0.000 0.000
-1.805 3.307 0.008
0.000 -1.978 3.020
Ru C
1 4
direct
0.000 0.000 0.000
0.750 0.500 0.250
0.250 0.500 0.750
0.635 0.270 0.635
0.365 0.730 0.365
```

Calculated formation energy (kJ per mole of atoms): 221
Total magnetic moment (μB per formula unit): 0.00

***

First-principles (PBEsol) data for a geometry-optimized Ru3C4 structure, as listed in the Alexandria database.

Structure (POSCAR):
```
Ru3C4
1.0
-0.618 0.869 4.024
-3.881 -1.480 -0.277
1.373 -3.793 1.030
C Ru
4 3
direct
0.000 0.000 0.000
0.000 0.500 0.500
0.500 0.000 0.500
0.500 0.500 0.000
0.000 0.500 0.000
0.000 0.000 0.500
0.500 0.000 0.000
```

Calculated formation energy (kJ per mole of atoms): 116
Total magnetic moment (μB per formula unit): 0.00

***

First-principles (PBEsol) data for a geometry-optimized Sb2RuCS structure, as listed in the Alexandria database.

Structure (POSCAR):
```
Sb2RuCS
1.0
-3.543 -0.245 2.244
2.772 -0.403 4.333
-0.038 5.135 0.501
Sb S C Ru
2 1 1 1
direct
0.000 0.000 0.500
0.000 0.500 0.000
0.500 0.000 0.000
0.500 0.500 0.500
0.000 0.000 0.000
```

Total magnetic moment (μB per formula unit): 0.61
Formation energy (no corrections) (eV/f.u.): 7.67

***

First-principles (PBEsol) data for a geometry-optimized Sb3RuC structure, as listed in the Alexandria database.

Structure (POSCAR):
```
Sb3RuC
1.0
4.517 0.000 0.000
0.000 4.517 0.000
0.000 0.000 4.517
Sb C Ru
3 1 1
direct
0.000 0.500 0.000
0.000 0.000 0.500
0.500 0.000 0.000
0.000 0.000 0.000
0.500 0.500 0.500
```

Total magnetic moment (μB per formula unit): 0.00
Formation energy (no corrections) (eV/f.u.): 5.87